#w
Crystalline CeY2Cd at its relaxed geometry. Source: Alexandria via LeMat-Bulk, functional GGA-PBE.

- V: 28.792 Å³/atom

```
CeY2Cd
1.0
-2.905 0.229 3.764
-3.439 -2.471 -2.503
1.833 -4.247 1.673
Y Ce Cd
2 1 1
Cartesian
0.917 -2.123 0.836 Y
-1.719 -1.235 -1.252 Y
-2.255 -3.244 1.467 Ce
-1.452 0.114 1.882 Cd
```

---

#x
Crystalline CeY2Cd at its relaxed geometry. Source: Alexandria via LeMat-Bulk, functional GGA-PBE.

- V: 28.496 Å³/atom

```
CeY2Cd
1.0
-2.879 0.631 2.037
0.190 -3.333 1.301
5.264 2.860 6.553
Y Ce Cd
2 1 1
Cartesian
4.052 2.201 5.045 Y
1.212 0.658 1.509 Y
1.287 0.079 4.946 Ce
-1.344 -1.351 1.669 Cd
```

---

Most stable one: #x, least stable one: #w.

---

#w
Crystalline CeY2Cd at its relaxed geometry. Source: Alexandria via LeMat-Bulk, functional GGA-PBE.

- V: 28.361 Å³/atom

```
CeY2Cd
1.0
5.434 0.000 0.000
2.717 4.706 0.000
2.717 1.569 4.437
Y Ce Cd
2 1 1
Cartesian
2.717 1.569 1.109 Y
8.151 4.706 3.327 Y
0.000 0.000 0.000 Ce
5.434 3.137 2.218 Cd
```

---

#x
Crystalline CeY2Cd at its relaxed geometry. Source: Alexandria via LeMat-Bulk, functional GGA-PBE.

- V: 29.254 Å³/atom

```
CeY2Cd
1.0
3.540 0.000 0.000
1.770 3.065 0.000
1.770 1.022 10.784
Y Ce Cd
2 1 1
Cartesian
1.770 1.022 2.542 Y
5.310 3.065 8.242 Y
3.540 2.044 5.392 Ce
0.000 0.000 0.000 Cd
```

---

Most stable one: #x, least stable one: #w.